Entry 1:
Density functional theory data (GGA-PBE) for LaPr4Er7 after structural relaxation.

The structure belongs to space group P-1 (No. 2); the cell edges are 7.173, 8.017 and 8.030 Å and the angles 72.96°, 77.65° and 63.68°. The inequivalent atoms are La at (0.000, 0.000, 0.000), Pr at (0.165, 0.336, 0.668), Pr at (0.417, 0.830, 0.667), Er at (0.084, 0.166, 0.333), Er at (0.251, 0.497, 0.001), Er at (0.334, 0.667, 0.332) and Er at (0.500, 0.000, 0.000).

As for the formation enthalpy at 0 K: 0.02 eV/atom. The value obtained for the distance to the lowest polymorph of the same formula is 0.000 eV per atom. For the energy, the calculation gives -4.643 eV/atom.

=====

Entry 2:
Density functional theory data (GGA-PBE) for La2Pr6Er3 after structural relaxation.

The structure belongs to space group C2/m (No. 12); the cell edges are 6.272, 10.878 and 11.961 Å and the angles 90.00°, 100.19° and 90.00°. The inequivalent atoms are La at (0.000, 0.167, 0.000), Pr at (0.248, 0.500, 0.745), Pr at (0.249, 0.166, 0.745), Er at (0.000, 0.000, 0.500) and Er at (0.000, 0.335, 0.500).

As for the formation enthalpy at 0 K: 0.16 eV/atom. The value obtained for the distance to the lowest polymorph of the same formula is 0.000 eV per atom. For the energy, the calculation gives -4.588 eV/atom.

=====

Entry 3:
Density functional theory data (GGA-PBE) for LaPrEr6 after structural relaxation.

The structure belongs to space group C2/m (No. 12); the cell edges are 10.233, 6.719 and 8.510 Å and the angles 90.00°, 104.30° and 90.00°. The inequivalent atoms are La at (0.000, 0.000, 0.000), Pr at (0.000, 0.000, 0.500), Er at (0.123, 0.500, 0.920) and Er at (0.199, 0.260, 0.299).

As for the formation enthalpy at 0 K: 0.37 eV/atom. The value obtained for the distance to the lowest polymorph of the same formula is 0.334 eV per atom. For the energy, the calculation gives -4.269 eV/atom.

=====

Entry 4:
Density functional theory data (GGA-PBE) for La2Pr6Er3 after structural relaxation.

The structure belongs to space group I4/mmm (No. 139); the cell edges are 5.789, 5.789 and 24.540 Å and the angles 90.00°, 90.00° and 90.00°. The inequivalent atoms are La at (0.000, 0.000, 0.059), Pr at (0.000, 0.000, 0.204), Pr at (0.000, 0.500, 0.096), Er at (0.000, 0.000, 0.342) and Er at (0.000, 0.000, 0.500).

As for the formation enthalpy at 0 K: 0.44 eV/atom. The value obtained for the distance to the lowest polymorph of the same formula is 0.281 eV per atom. For the energy, the calculation gives -4.307 eV/atom.